# 1
! PBE TmZrHg2, optimized geometry; values from VASP
&SYSTEM
  ibrav = 0, nat = 4, ntyp = 3
/
ATOMIC_SPECIES
Tm 168.93 Tm.upf
Hg 200.59 Hg.upf
Zr 91.22 Zr.upf
CELL_PARAMETERS angstrom
4.157 0.000 0.000
0.000 4.716 0.000
0.000 0.000 4.716
ATOMIC_POSITIONS crystal
Tm 0.500 0.000 0.000
Hg 0.000 0.000 0.500
Hg 0.000 0.500 0.000
Zr 0.500 0.500 0.500
! Distance to the lowest polymorph of the same formula: 0.05 eV per formula unit
! DOS at the Fermi energy: 3.3 states/eV/f.u.
! ΔH_f (0 K): -0.2647 eV/atom

---

# 2
! PBE Tm2ZrHg, optimized geometry; values from VASP
&SYSTEM
  ibrav = 0, nat = 4, ntyp = 3
/
ATOMIC_SPECIES
Tm 168.93 Tm.upf
Hg 200.59 Hg.upf
Zr 91.22 Zr.upf
CELL_PARAMETERS angstrom
-1.421 -2.874 -0.789
1.222 -2.828 1.189
-6.858 -1.030 9.189
ATOMIC_POSITIONS crystal
Tm 0.093 0.093 0.722
Tm 0.907 0.907 0.278
Hg 0.500 0.500 0.500
Zr 0.000 0.000 0.000
! Distance to the lowest polymorph of the same formula: 1.67 eV per formula unit
! DOS at the Fermi energy: 5.5 states/eV/f.u.
! ΔH_f (0 K): 0.1930 eV/atom

---

# 3
! PBE TmZrHg2, optimized geometry; values from VASP
&SYSTEM
  ibrav = 0, nat = 4, ntyp = 3
/
ATOMIC_SPECIES
Tm 168.93 Tm.upf
Hg 200.59 Hg.upf
Zr 91.22 Zr.upf
CELL_PARAMETERS angstrom
-0.728 3.356 1.067
-3.329 -1.011 0.909
2.294 -1.606 6.613
ATOMIC_POSITIONS crystal
Tm 0.500 0.500 0.500
Hg 0.000 0.000 0.756
Hg 0.000 0.000 0.244
Zr 0.500 0.500 0.000
! Distance to the lowest polymorph of the same formula: 0.00 eV per formula unit
! DOS at the Fermi energy: 3.9 states/eV/f.u.
! ΔH_f (0 K): -0.2784 eV/atom

---

# 4
! PBE TmZrHg4, optimized geometry; values from VASP
&SYSTEM
  ibrav = 0, nat = 6, ntyp = 3
/
ATOMIC_SPECIES
Tm 168.93 Tm.upf
Zr 91.22 Zr.upf
Hg 200.59 Hg.upf
CELL_PARAMETERS angstrom
3.365 0.000 0.000
0.000 3.365 0.000
0.000 0.000 12.132
ATOMIC_POSITIONS crystal
Tm 0.500 0.500 0.500
Zr 0.000 0.000 0.000
Hg 0.500 0.500 0.840
Hg 0.500 0.500 0.160
Hg 0.000 0.000 0.668
Hg 0.000 0.000 0.332
! Distance to the lowest polymorph of the same formula: 0.00 eV per formula unit
! DOS at the Fermi energy: 2.7 states/eV/f.u.
! ΔH_f (0 K): -0.1956 eV/atom

---

# 5
! PBE U3Hg, optimized geometry; values from VASP
&SYSTEM
  ibrav = 0, nat = 4, ntyp = 2
/
ATOMIC_SPECIES
U 238.03 U.upf
Hg 200.59 Hg.upf
CELL_PARAMETERS angstrom
-1.136 -2.461 1.337
2.808 1.101 4.413
-4.154 2.953 1.907
ATOMIC_POSITIONS crystal
U 0.000 0.000 0.957
U 0.500 0.000 0.444
U 0.500 0.500 0.888
Hg 0.000 0.500 0.378
! DOS at the Fermi energy: 12.3 states/eV/f.u.
! ΔH_f (0 K): 0.2912 eV/atom

---

# 6
! PBE UHg2, optimized geometry; values from VASP
&SYSTEM
  ibrav = 0, nat = 3, ntyp = 2
/
ATOMIC_SPECIES
U 238.03 U.upf
Hg 200.59 Hg.upf
CELL_PARAMETERS angstrom
3.123 0.000 0.000
0.000 3.123 0.000
-1.561 -1.561 7.221
ATOMIC_POSITIONS crystal
U 0.000 0.000 0.000
Hg 0.668 0.668 0.336
Hg 0.332 0.332 0.664
! DOS at the Fermi energy: 3.8 states/eV/f.u.
! ΔH_f (0 K): 0.2010 eV/atom

---

# 7
! PBE UHg2, optimized geometry; values from VASP
&SYSTEM
  ibrav = 0, nat = 6, ntyp = 2
/
ATOMIC_SPECIES
U 238.03 U.upf
Hg 200.59 Hg.upf
CELL_PARAMETERS angstrom
5.172 -0.005 -0.004
2.589 5.395 0.124
2.589 1.897 5.052
ATOMIC_POSITIONS crystal
U 0.500 0.750 0.250
U 0.500 0.250 0.750
Hg 0.833 0.167 0.167
Hg 0.167 0.833 0.833
Hg 0.167 0.333 0.333
Hg 0.833 0.667 0.667
! DOS at the Fermi energy: 4.6 states/eV/f.u.
! ΔH_f (0 K): 0.1125 eV/atom

---

# 8
! PBE UHg, optimized geometry; values from VASP
&SYSTEM
  ibrav = 0, nat = 4, ntyp = 2
/
ATOMIC_SPECIES
U 238.03 U.upf
Hg 200.59 Hg.upf
CELL_PARAMETERS angstrom
3.609 0.000 0.035
0.000 3.704 0.000
-0.666 0.000 6.790
ATOMIC_POSITIONS crystal
U 0.180 0.750 0.588
U 0.820 0.250 0.412
Hg 0.273 0.750 0.118
Hg 0.727 0.250 0.882
! DOS at the Fermi energy: 3.1 states/eV/f.u.
! ΔH_f (0 K): 0.0904 eV/atom

---

# 9
! PBE U3Hg, optimized geometry; values from VASP
&SYSTEM
  ibrav = 0, nat = 4, ntyp = 2
/
ATOMIC_SPECIES
U 238.03 U.upf
Hg 200.59 Hg.upf
CELL_PARAMETERS angstrom
5.378 -0.001 0.000
1.615 5.130 0.000
-3.497 -2.565 3.181
ATOMIC_POSITIONS crystal
U 0.750 0.250 0.500
U 0.250 0.750 0.500
U 0.500 0.500 0.000
Hg 0.000 0.000 0.000
! DOS at the Fermi energy: 12.6 states/eV/f.u.
! ΔH_f (0 K): 0.4498 eV/atom

---

# 10
! PBE U6Hg, optimized geometry; values from VASP
&SYSTEM
  ibrav = 0, nat = 7, ntyp = 2
/
ATOMIC_SPECIES
U 238.03 U.upf
Hg 200.59 Hg.upf
CELL_PARAMETERS angstrom
-1.487 -3.674 -4.729
-3.775 -1.129 4.748
-0.566 5.898 -1.721
ATOMIC_POSITIONS crystal
U 0.250 0.750 0.500
U 0.500 0.750 0.250
U 0.250 0.500 0.750
U 0.750 0.250 0.500
U 0.500 0.250 0.750
U 0.750 0.500 0.250
Hg 0.000 0.000 0.000
! DOS at the Fermi energy: 25.5 states/eV/f.u.
! ΔH_f (0 K): 1.1017 eV/atom

---

# 11
! PBE UHg2, optimized geometry; values from VASP
&SYSTEM
  ibrav = 0, nat = 6, ntyp = 2
/
ATOMIC_SPECIES
U 238.03 U.upf
Hg 200.59 Hg.upf
CELL_PARAMETERS angstrom
5.908 0.000 0.000
2.954 5.116 0.000
2.954 1.705 4.824
ATOMIC_POSITIONS crystal
U 0.000 0.000 0.000
U 0.250 0.250 0.250
Hg 0.125 0.625 0.625
Hg 0.625 0.125 0.625
Hg 0.625 0.625 0.625
Hg 0.625 0.625 0.125
! DOS at the Fermi energy: 9.5 states/eV/f.u.
! ΔH_f (0 K): 0.3794 eV/atom

---

# 12
! PBE UHg4, optimized geometry; values from VASP
&SYSTEM
  ibrav = 0, nat = 5, ntyp = 2
/
ATOMIC_SPECIES
U 238.03 U.upf
Hg 200.59 Hg.upf
CELL_PARAMETERS angstrom
-1.112 -2.626 -5.346
-2.856 -4.538 2.823
-5.227 3.038 -0.405
ATOMIC_POSITIONS crystal
U 0.500 0.500 0.500
Hg 0.000 0.000 0.000
Hg 0.500 0.000 0.500
Hg 0.000 0.500 0.500
Hg 0.500 0.500 0.000
! DOS at the Fermi energy: 15.3 states/eV/f.u.
! ΔH_f (0 K): 0.7930 eV/atom

---

# 13
! PBE UZn2Hg, optimized geometry; values from VASP
&SYSTEM
  ibrav = 0, nat = 4, ntyp = 3
/
ATOMIC_SPECIES
Zn 65.41 Zn.upf
U 238.03 U.upf
Hg 200.59 Hg.upf
CELL_PARAMETERS angstrom
-2.230 0.860 1.562
0.628 -1.962 1.977
5.446 6.159 4.383
ATOMIC_POSITIONS crystal
Zn 0.000 0.000 0.753
Zn 0.000 0.000 0.247
U 0.500 0.500 0.500
Hg 0.500 0.500 0.000
! DOS at the Fermi energy: 4.2 states/eV/f.u.
! ΔH_f (0 K): 0.1456 eV/atom

---

# 14
! PBE UZnHg2, optimized geometry; values from VASP
&SYSTEM
  ibrav = 0, nat = 4, ntyp = 3
/
ATOMIC_SPECIES
Zn 65.41 Zn.upf
U 238.03 U.upf
Hg 200.59 Hg.upf
CELL_PARAMETERS angstrom
-0.088 2.640 -1.766
0.625 -1.718 -2.599
-8.330 -1.123 -1.262
ATOMIC_POSITIONS crystal
Zn 0.500 0.500 0.000
U 0.500 0.500 0.500
Hg 0.000 0.000 0.782
Hg 0.000 0.000 0.218
! DOS at the Fermi energy: 5.5 states/eV/f.u.
! ΔH_f (0 K): 0.1827 eV/atom

---

# 15
! PBE UZn17Hg, optimized geometry; values from VASP
&SYSTEM
  ibrav = 0, nat = 19, ntyp = 3
/
ATOMIC_SPECIES
U 238.03 U.upf
Zn 65.41 Zn.upf
Hg 200.59 Hg.upf
CELL_PARAMETERS angstrom
-2.504 1.556 6.177
5.155 -2.481 3.757
3.390 5.871 0.938
ATOMIC_POSITIONS crystal
U 0.340 0.340 0.340
Zn 0.312 0.999 0.704
Zn 0.704 0.312 0.999
Zn 0.999 0.704 0.312
Zn 0.312 0.704 0.999
Zn 0.999 0.312 0.704
Zn 0.704 0.999 0.312
Zn 0.348 0.847 0.348
Zn 0.348 0.348 0.847
Zn 0.847 0.348 0.348
Zn 0.653 0.144 0.653
Zn 0.653 0.653 0.144
Zn 0.144 0.653 0.653
Zn 0.015 0.502 0.015
Zn 0.015 0.015 0.502
Zn 0.502 0.015 0.015
Zn 0.903 0.903 0.903
Zn 0.102 0.102 0.102
Hg 0.599 0.599 0.599
! DOS at the Fermi energy: 10.5 states/eV/f.u.
! ΔH_f (0 K): 0.0080 eV/atom

---

# 16
! PBE ZrUHg, optimized geometry; values from VASP
&SYSTEM
  ibrav = 0, nat = 6, ntyp = 3
/
ATOMIC_SPECIES
Zr 91.22 Zr.upf
Hg 200.59 Hg.upf
U 238.03 U.upf
CELL_PARAMETERS angstrom
4.216 0.039 0.137
-0.022 4.216 0.137
-1.156 -1.173 7.540
ATOMIC_POSITIONS crystal
Zr 0.906 0.906 0.677
Zr 0.094 0.094 0.323
Hg 0.409 0.409 0.671
Hg 0.591 0.591 0.329
U 0.500 0.000 0.000
U 0.000 0.500 0.000
! DOS at the Fermi energy: 5.4 states/eV/f.u.
! ΔH_f (0 K): 0.2195 eV/atom

---

# 17
! PBE VHg3, optimized geometry; values from VASP
&SYSTEM
  ibrav = 0, nat = 8, ntyp = 2
/
ATOMIC_SPECIES
Hg 200.59 Hg.upf
V 50.94 V.upf
CELL_PARAMETERS angstrom
4.990 0.000 0.000
0.000 6.229 0.000
0.000 -3.114 5.394
ATOMIC_POSITIONS crystal
Hg 0.750 0.829 0.171
Hg 0.750 0.341 0.171
Hg 0.750 0.829 0.659
Hg 0.250 0.171 0.829
Hg 0.250 0.659 0.829
Hg 0.250 0.171 0.341
V 0.250 0.667 0.333
V 0.750 0.333 0.667
! DOS at the Fermi energy: 3.1 states/eV/f.u.
! ΔH_f (0 K): 0.3607 eV/atom

---

# 18
! PBE V2HgW, optimized geometry; values from VASP
&SYSTEM
  ibrav = 0, nat = 8, ntyp = 3
/
ATOMIC_SPECIES
Hg 200.59 Hg.upf
W 183.84 W.upf
V 50.94 V.upf
CELL_PARAMETERS angstrom
-2.226 -6.146 -2.789
6.077 -0.548 -3.644
3.063 -4.713 -1.115
ATOMIC_POSITIONS crystal
Hg 0.000 0.000 0.000
Hg 0.750 0.250 0.500
W 0.500 0.500 0.000
W 0.250 0.750 0.500
V 0.597 0.125 0.250
V 0.153 0.625 0.250
V 0.375 0.403 0.750
V 0.875 0.847 0.750
! DOS at the Fermi energy: 5.1 states/eV/f.u.
! ΔH_f (0 K): 0.8981 eV/atom

---

# 19
! PBE V2HgW, optimized geometry; values from VASP
&SYSTEM
  ibrav = 0, nat = 4, ntyp = 3
/
ATOMIC_SPECIES
Hg 200.59 Hg.upf
W 183.84 W.upf
V 50.94 V.upf
CELL_PARAMETERS angstrom
-1.450 -2.688 -0.869
1.884 -0.192 -2.549
4.201 -3.351 3.357
ATOMIC_POSITIONS crystal
Hg 0.500 0.500 0.500
W 0.500 0.500 0.000
V 0.000 0.000 0.782
V 0.000 0.000 0.218
! DOS at the Fermi energy: 3.2 states/eV/f.u.
! ΔH_f (0 K): 0.1672 eV/atom

---

# 20
! PBE VHg3W, optimized geometry; values from VASP
&SYSTEM
  ibrav = 0, nat = 5, ntyp = 3
/
ATOMIC_SPECIES
Hg 200.59 Hg.upf
W 183.84 W.upf
V 50.94 V.upf
CELL_PARAMETERS angstrom
-0.417 3.188 4.162
-0.313 -4.183 3.173
5.233 0.004 0.522
ATOMIC_POSITIONS crystal
Hg 0.000 0.500 0.000
Hg 0.000 0.000 0.500
Hg 0.500 0.000 0.000
W 0.000 0.000 0.000
V 0.500 0.500 0.500
! Distance to the lowest polymorph of the same formula: 0.00 eV per formula unit
! DOS at the Fermi energy: 5.8 states/eV/f.u.
! ΔH_f (0 K): 1.4858 eV/atom

---

# 21
! PBE YVHgW2, optimized geometry; values from VASP
&SYSTEM
  ibrav = 0, nat = 5, ntyp = 4
/
ATOMIC_SPECIES
Y 88.91 Y.upf
Hg 200.59 Hg.upf
W 183.84 W.upf
V 50.94 V.upf
CELL_PARAMETERS angstrom
4.919 0.000 0.000
0.000 4.577 0.000
0.000 0.000 4.919
ATOMIC_POSITIONS crystal
Y 0.000 0.000 0.000
Hg 0.500 0.500 0.500
W 0.000 0.000 0.500
W 0.500 0.000 0.000
V 0.000 0.500 0.000
! DOS at the Fermi energy: 4.7 states/eV/f.u.
! ΔH_f (0 K): 2.6376 eV/atom

---

# 22
! PBE YVHg3, optimized geometry; values from VASP
&SYSTEM
  ibrav = 0, nat = 5, ntyp = 3
/
ATOMIC_SPECIES
Y 88.91 Y.upf
Hg 200.59 Hg.upf
V 50.94 V.upf
CELL_PARAMETERS angstrom
-5.275 -1.578 -1.486
1.812 -1.063 -5.302
1.190 -5.376 1.484
ATOMIC_POSITIONS crystal
Y 0.000 0.000 0.000
Hg 0.000 0.500 0.000
Hg 0.000 0.000 0.500
Hg 0.500 0.000 0.000
V 0.500 0.500 0.500
! Distance to the lowest polymorph of the same formula: 3.19 eV per formula unit
! DOS at the Fermi energy: 10.9 states/eV/f.u.
! ΔH_f (0 K): 0.9898 eV/atom

---

# 23
! PBE YVHg2, optimized geometry; values from VASP
&SYSTEM
  ibrav = 0, nat = 4, ntyp = 3
/
ATOMIC_SPECIES
Y 88.91 Y.upf
Hg 200.59 Hg.upf
V 50.94 V.upf
CELL_PARAMETERS angstrom
0.000 3.541 3.541
3.541 0.000 3.541
3.541 3.541 0.000
ATOMIC_POSITIONS crystal
Y 0.500 0.500 0.500
Hg 0.250 0.250 0.250
Hg 0.750 0.750 0.750
V 0.000 0.000 0.000
! Distance to the lowest polymorph of the same formula: 0.00 eV per formula unit
! DOS at the Fermi energy: 4.3 states/eV/f.u.
! ΔH_f (0 K): -0.0342 eV/atom

---

# 24
! PBE YVHg3, optimized geometry; values from VASP
&SYSTEM
  ibrav = 0, nat = 5, ntyp = 3
/
ATOMIC_SPECIES
Y 88.91 Y.upf
Hg 200.59 Hg.upf
V 50.94 V.upf
CELL_PARAMETERS angstrom
-2.192 4.628 0.072
-2.390 -1.200 4.367
3.963 1.836 2.673
ATOMIC_POSITIONS crystal
Y 0.500 0.500 0.500
Hg 0.000 0.500 0.000
Hg 0.000 0.000 0.500
Hg 0.500 0.000 0.000
V 0.000 0.000 0.000
! Distance to the lowest polymorph of the same formula: 0.00 eV per formula unit
! DOS at the Fermi energy: 3.0 states/eV/f.u.
! ΔH_f (0 K): 0.3528 eV/atom

---

# 25
! PBE YVHg2, optimized geometry; values from VASP
&SYSTEM
  ibrav = 0, nat = 8, ntyp = 3
/
ATOMIC_SPECIES
Y 88.91 Y.upf
Hg 200.59 Hg.upf
V 50.94 V.upf
CELL_PARAMETERS angstrom
-2.180 3.780 -0.981
-3.775 -1.752 1.639
-0.713 4.694 9.479
ATOMIC_POSITIONS crystal
Y 0.000 0.000 0.000
Y 0.750 0.250 0.500
Hg 0.588 0.125 0.250
Hg 0.162 0.625 0.250
Hg 0.375 0.412 0.750
Hg 0.875 0.838 0.750
V 0.500 0.500 0.000
V 0.250 0.750 0.500
! Distance to the lowest polymorph of the same formula: 1.46 eV per formula unit
! DOS at the Fermi energy: 3.1 states/eV/f.u.
! ΔH_f (0 K): 0.3311 eV/atom

---

# 26
! PBE YV2Hg, optimized geometry; values from VASP
&SYSTEM
  ibrav = 0, nat = 8, ntyp = 3
/
ATOMIC_SPECIES
Y 88.91 Y.upf
Hg 200.59 Hg.upf
V 50.94 V.upf
CELL_PARAMETERS angstrom
-3.148 7.075 -0.791
-6.878 -3.246 -1.658
-5.702 1.925 1.614
ATOMIC_POSITIONS crystal
Y 0.500 0.500 0.000
Y 0.250 0.750 0.500
Hg 0.000 0.000 0.000
Hg 0.750 0.250 0.500
V 0.653 0.125 0.250
V 0.097 0.625 0.250
V 0.375 0.347 0.750
V 0.875 0.903 0.750
! DOS at the Fermi energy: 5.8 states/eV/f.u.
! ΔH_f (0 K): 0.7626 eV/atom

---

# 27
! PBE Y2VHg2, optimized geometry; values from VASP
&SYSTEM
  ibrav = 0, nat = 10, ntyp = 3
/
ATOMIC_SPECIES
Y 88.91 Y.upf
Hg 200.59 Hg.upf
V 50.94 V.upf
CELL_PARAMETERS angstrom
7.947 0.000 0.000
0.000 7.947 0.000
0.000 0.000 3.990
ATOMIC_POSITIONS crystal
Y 0.170 0.670 0.500
Y 0.670 0.830 0.500
Y 0.830 0.330 0.500
Y 0.330 0.170 0.500
Hg 0.366 0.866 0.000
Hg 0.866 0.634 0.000
Hg 0.634 0.134 0.000
Hg 0.134 0.366 0.000
V 0.000 0.000 0.000
V 0.500 0.500 0.000
! DOS at the Fermi energy: 4.7 states/eV/f.u.
! ΔH_f (0 K): -0.0796 eV/atom

---

| no. | size of the total moment (μB/cell) |
| --- | --- |
| 1 | 1.0 |
| 2 | 0.0 |
| 3 | 0.6 |
| 4 | 0.2 |
| 5 | 2.8 |
| 6 | 3.2 |
| 7 | 6.7 |
| 8 | 0.0 |
| 9 | 2.9 |
| 10 | 2.0 |
| 11 | 6.9 |
| 12 | 4.7 |
| 13 | 1.4 |
| 14 | 3.2 |
| 15 | 2.9 |
| 16 | 2.6 |
| 17 | 6.2 |
| 18 | 0.0 |
| 19 | 0.0 |
| 20 | 2.5 |
| 21 | 0.0 |
| 22 | 4.1 |
| 23 | 3.3 |
| 24 | 2.1 |
| 25 | 7.0 |
| 26 | 9.5 |
| 27 | 8.8 |